Record 1
This record from Alexandria via LeMat-Bulk describes a relaxed SrMn2Al crystal. The functional is GGA-PBE.

- energy of formation (eV/f.u.) = 1.57
- space-group type = C2/m (12)

Structure (POSCAR):
```
SrMn2Al
1.0
4.2949 -1.5716 0.0000
4.2949 1.5716 0.0000
-0.9645 0.0000 6.4259
Sr Mn Al
1 2 1
direct
0.0000 0.0000 0.0000
0.2316 0.2316 0.6553
0.7684 0.7684 0.3447
0.5000 0.5000 0.5000
```

***

Record 2
This record from Alexandria via LeMat-Bulk describes a relaxed SrMn2Al crystal. The functional is GGA-PBE.

- energy of formation (eV/f.u.) = 2.08
- space-group type = Imm2 (44)

Structure (POSCAR):
```
SrMn2Al
1.0
-1.5747 2.5314 5.1649
1.5747 -2.5314 5.1649
1.5747 2.5314 -5.1649
Sr Mn Al
1 2 1
direct
0.0000 0.0000 0.0000
0.4868 0.4868 0.0000
0.7093 0.2093 0.5000
0.2809 0.7809 0.5000
```